[1]
## YTa2Re (meta-GGA SCAN)

Data for a PBEsol-optimized structure of YTa2Re.

energy of formation: 0.22 eV/atom
magnetization: 0.0 μB per cell
final energy: -57.8112 eV per atom

Cell: 2.8926 2.8926 9.6556 Å, 90.00 90.00 112.15°
Sites, in units of the cell vectors:
Re 0.5000 0.5000 0.0000
Ta 0.0000 0.0000 0.7834
Ta 0.0000 0.0000 0.2166
Y 0.5000 0.5000 0.5000

[2]
## YTa2Re (meta-GGA SCAN)

Data for a PBEsol-optimized structure of YTa2Re.

energy of formation: 0.22 eV/atom
magnetization: 0.0 μB per cell
final energy: -57.8018 eV per atom

Cell: 4.6652 4.6652 4.6652 Å, 60.00 60.00 60.00°
Sites, in units of the cell vectors:
Y 0.0000 0.0000 0.0000
Re 0.5000 0.5000 0.5000
Ta 0.2500 0.2500 0.2500
Ta 0.7500 0.7500 0.7500

[3]
## ZrTaRe (meta-GGA SCAN)

Data for a PBEsol-optimized structure of ZrTaRe.

energy of formation: 1.24 eV/atom
magnetization: 0.0 μB per cell
final energy: -54.8870 eV per atom

Cell: 4.4089 4.4089 4.4089 Å, 60.00 60.00 60.00°
Sites, in units of the cell vectors:
Re 0.0000 0.0000 0.0000
Zr 0.2500 0.2500 0.2500
Ta 0.5000 0.5000 0.5000

[4]
## ZrTa2Re (meta-GGA SCAN)

Data for a PBEsol-optimized structure of ZrTa2Re.

energy of formation: -0.17 eV/atom
magnetization: 0.0 μB per cell
final energy: -58.9131 eV per atom

Cell: 3.2150 4.6459 5.4648 Å, 115.16 107.11 90.00°
Sites, in units of the cell vectors:
Ta 0.7469 0.2469 0.4938
Ta 0.9864 0.9864 0.9728
Zr 0.5109 0.5109 0.0218
Re 0.2558 0.7558 0.5116

[5]
## ZrTaRe (meta-GGA SCAN)

Data for a PBEsol-optimized structure of ZrTaRe.

energy of formation: -0.30 eV/atom
magnetization: 0.0 μB per cell
final energy: -56.4246 eV per atom

Cell: 3.2238 3.2238 5.5583 Å, 106.86 106.86 90.00°
Sites, in units of the cell vectors:
Ta 0.6519 0.6519 0.3037
Re 0.0086 0.0086 0.0171
Zr 0.3396 0.3396 0.6792

[6]
## ZrTaRe (meta-GGA SCAN)

Data for a PBEsol-optimized structure of ZrTaRe.

energy of formation: -0.18 eV/atom
magnetization: 0.0 μB per cell
final energy: -56.3072 eV per atom

Cell: 2.9602 4.5096 4.5096 Å, 120.00 90.00 90.00°
Sites, in units of the cell vectors:
Zr 0.3199 0.3333 0.6667
Re 0.9890 0.0000 0.0000
Ta 0.6911 0.6667 0.3333